(1)
The following is a PBE-GGA calculation of crystalline CaNd2OsC2 at its relaxed geometry, from Alexandria via LeMat-Bulk.

## Properties
raw total energy = -81.716 eV for the cell shown

abc: 5.8477 10.9169 4.0420
angles: 90.00 90.00 90.00
With the nearest neighbours (Å) after each atom.
Space group Pnnm (No. 58)
Inequivalent atoms, fractional coordinates:
Ca (0.0000, 0.0000, 0.0000) [2 per cell]  4 C 2.76
Nd (0.0482, 0.2970, 0.5000) [4 per cell]  3 C 2.55-2.62
Os (0.0000, 0.5000, 0.0000) [2 per cell]  2 C 1.96
C (0.2417, 0.8856, 0.5000) [4 per cell]  1 Os 1.96

(2)
The following is a PBE-GGA calculation of crystalline Ca2NiC2 at its relaxed geometry, from Alexandria via LeMat-Bulk.

## Properties
raw total energy = -115.193 eV for the cell shown

abc: 12.5313 4.5084 7.7386
angles: 90.00 127.37 90.00
With the nearest neighbours (Å) after each atom.
Space group C2/c (No. 15)
Inequivalent atoms, fractional coordinates:
Ca (0.1326, 0.2287, 0.2147) [8 per cell]  3 C 2.63-2.66, 3 Ni 2.88-2.94
Ni (0.0000, 0.2811, 0.7500) [4 per cell]  2 C 1.83
C (0.1836, 0.2686, 0.9322) [8 per cell]  1 C 1.33

D(E_F) across the listed records, respectively: 0.6076, 0.5278 states/eV per atom.